# Zr2TeSe

A relaxed Zr2TeSe crystal (PBE, the Alexandria database).

POSCAR file:
```
Zr2TeSe
1.0
-5.204 -0.951 3.542
-2.832 -5.642 0.825
5.281 3.523 0.483
Zr Se Te
2 1 1
Direct
0.024 0.024 0.000 Zr
0.715 0.215 0.500 Zr
0.525 0.525 0.000 Se
0.237 0.737 0.500 Te
```

Output
Space-group type: Imm2
Energy (eV per cell): -26.49
Size of the total moment (μB per cell): 0.42
Energy above the lowest structure with this stoichiometry (kJ/mol of formula units): 134
Fermi-level density of states (states/eV/atom): 0.8359